Entry 1:
CeTm2FeN4: relaxed, PBE.

abc: 5.858 5.858 11.313
angles: 90.00 90.00 146.90
Positions (direct):
1 Ce 0.105 0.895 0.750
2 Ce 0.895 0.105 0.250
3 Tm 0.369 0.631 0.548
4 Tm 0.369 0.631 0.952
5 Tm 0.631 0.369 0.048
6 Tm 0.631 0.369 0.452
7 Fe 0.156 0.844 0.250
8 Fe 0.844 0.156 0.750
9 N 0.000 0.000 0.000
10 N 0.000 0.000 0.500
11 N 0.270 0.730 0.130
12 N 0.270 0.730 0.370
13 N 0.432 0.568 0.750
14 N 0.568 0.432 0.250
15 N 0.730 0.270 0.630
16 N 0.730 0.270 0.870

Calculated values
Uncorrected formation energy (eV/atom): -1.233
Space-group type: Cmcm (63)
Crystal system: orthorhombic
Total DFT energy (no corrections) (eV/atom): -8.3128



Entry 2:
CeU2FeN5: relaxed, PBE.

abc: 7.087 7.087 7.087
angles: 126.14 126.14 79.66
Positions (direct):
1 Ce 0.250 0.250 0.000
2 Ce 0.750 0.750 0.000
3 U 0.170 0.670 0.840
4 U 0.330 0.170 0.500
5 U 0.670 0.830 0.500
6 U 0.830 0.330 0.160
7 Fe 0.250 0.750 0.500
8 Fe 0.750 0.250 0.500
9 N 0.000 0.000 0.000
10 N 0.021 0.211 0.500
11 N 0.211 0.711 0.190
12 N 0.289 0.479 0.500
13 N 0.479 0.979 0.190
14 N 0.500 0.500 0.000
15 N 0.521 0.021 0.810
16 N 0.711 0.521 0.500
17 N 0.789 0.289 0.810
18 N 0.979 0.789 0.500

Calculated values
Uncorrected formation energy (eV/atom): -1.140
Space-group type: I4/mcm (140)
Crystal system: tetragonal
Total DFT energy (no corrections) (eV/atom): -9.8735



Entry 3:
Ce2VFeN5: relaxed, PBE.

abc: 6.926 6.926 9.426
angles: 90.00 90.00 152.12
Positions (direct):
1 Ce 0.130 0.870 0.500
2 Ce 0.131 0.869 0.124
3 Ce 0.869 0.131 0.624
4 Ce 0.870 0.130 0.000
5 V 0.431 0.569 0.284
6 V 0.569 0.431 0.784
7 Fe 0.207 0.793 0.835
8 Fe 0.793 0.207 0.335
9 N 0.053 0.947 0.870
10 N 0.298 0.702 0.469
11 N 0.304 0.696 0.200
12 N 0.352 0.648 0.825
13 N 0.492 0.508 0.116
14 N 0.508 0.492 0.616
15 N 0.648 0.352 0.325
16 N 0.696 0.304 0.700
17 N 0.702 0.298 0.969
18 N 0.947 0.053 0.370

Calculated values
Uncorrected formation energy (eV/atom): -1.000
Space-group type: Cmc2_1 (36)
Crystal system: orthorhombic
Total DFT energy (no corrections) (eV/atom): -8.8973



Entry 4:
CeY2FeN4: relaxed, PBE.

abc: 5.907 5.907 11.533
angles: 90.00 90.00 146.76
Positions (direct):
1 Ce 0.106 0.894 0.750
2 Ce 0.894 0.106 0.250
3 Y 0.368 0.632 0.548
4 Y 0.368 0.632 0.952
5 Y 0.632 0.368 0.048
6 Y 0.632 0.368 0.452
7 Fe 0.157 0.843 0.250
8 Fe 0.843 0.157 0.750
9 N 0.000 0.000 0.000
10 N 0.000 0.000 0.500
11 N 0.272 0.728 0.133
12 N 0.272 0.728 0.367
13 N 0.431 0.569 0.750
14 N 0.569 0.431 0.250
15 N 0.728 0.272 0.633
16 N 0.728 0.272 0.867

Calculated values
Uncorrected formation energy (eV/atom): -1.144
Space-group type: Cmcm (63)
Crystal system: orthorhombic
Total DFT energy (no corrections) (eV/atom): -8.7219



Entry 5:
Ce2YFe2N6: relaxed, PBE.

abc: 6.753 6.753 6.753
angles: 48.35 48.35 48.35
Positions (direct):
1 Ce 0.206 0.206 0.206
2 Ce 0.794 0.794 0.794
3 Y 0.000 0.000 0.000
4 Fe 0.406 0.406 0.406
5 Fe 0.594 0.594 0.594
6 N 0.227 0.738 0.738
7 N 0.262 0.262 0.773
8 N 0.262 0.773 0.262
9 N 0.738 0.227 0.738
10 N 0.738 0.738 0.227
11 N 0.773 0.262 0.262

Calculated values
Uncorrected formation energy (eV/atom): -0.602
Space-group type: R-3m (166)
Crystal system: trigonal
Total DFT energy (no corrections) (eV/atom): -8.3483



Entry 6:
CeZrFeN3: relaxed, PBE.

abc: 7.026 3.241 7.163
angles: 90.00 102.19 90.00
Positions (direct):
1 Ce 0.179 0.250 0.203
2 Ce 0.821 0.750 0.797
3 Zr 0.345 0.750 0.838
4 Zr 0.655 0.250 0.162
5 Fe 0.097 0.250 0.590
6 Fe 0.903 0.750 0.410
7 N 0.121 0.250 0.863
8 N 0.180 0.750 0.490
9 N 0.424 0.750 0.153
10 N 0.576 0.250 0.847
11 N 0.820 0.250 0.510
12 N 0.879 0.750 0.137

Calculated values
Uncorrected formation energy (eV/atom): -1.125
Space-group type: P2_1/m (11)
Crystal system: monoclinic
Total DFT energy (no corrections) (eV/atom): -9.1118